CuAgIr | PBE | optimized geometry

```
data_CuAgIr
_chemical_formula_sum 'Cu1 Ag1 Ir1'
_space_group_name_H-M_alt 'P 1'
_space_group_IT_number 1
_cell_length_a 6.2541
_cell_length_b 6.2541
_cell_length_c 6.2541
_cell_angle_alpha 154.77
_cell_angle_beta 154.77
_cell_angle_gamma 35.98
loop_
_space_group_symop_operation_xyz
'x,y,z'
loop_
_atom_site_label
_atom_site_fract_x
_atom_site_fract_y
_atom_site_fract_z
_atom_site_occupancy
Cu1 0.3274 0.3274 0.0000 1
Ag1 0.9949 0.9949 0.0000 1
Ir1 0.6777 0.6777 0.0000 1
```

Results
N(E_F) ... 3.1 states/eV/f.u.
Relative energy among the computed polymorphs ... 203 meV/atom


BaErNbN3 | PBE | optimized geometry

```
data_BaErNbN3
_chemical_formula_sum 'Ba2 Er2 Nb2 N6'
_space_group_name_H-M_alt 'P 1'
_space_group_IT_number 1
_cell_length_a 4.0272
_cell_length_b 7.1088
_cell_length_c 7.7277
_cell_angle_alpha 104.31
_cell_angle_beta 90.00
_cell_angle_gamma 106.45
loop_
_space_group_symop_operation_xyz
'x,y,z'
loop_
_atom_site_label
_atom_site_fract_x
_atom_site_fract_y
_atom_site_fract_z
_atom_site_occupancy
N1 0.1496 0.2991 0.7874 1
N2 0.1648 0.3295 0.3551 1
N3 0.8504 0.7009 0.2126 1
Er1 0.3420 0.6839 0.4259 1
Nb1 0.0024 0.0049 0.3051 1
Er2 0.6580 0.3161 0.5741 1
Ba1 0.3506 0.7012 0.9198 1
N4 0.5073 0.0146 0.3301 1
Nb2 0.9976 0.9951 0.6949 1
N5 0.4927 0.9854 0.6699 1
N6 0.8352 0.6705 0.6449 1
Ba2 0.6494 0.2988 0.0802 1
```

Results
E_form (uncorrected) ... -0.95 eV per atom


| no. | spin magnetization (μB/f.u.) |
| --- | --- |
| 1 | 0.0 |
| 2 | 0.0 |